Record 1
Density functional theory data (GGA-PBE) for a relaxed DyHoOs crystal.

Cell: 4.087 7.104 5.824 Å, 94.14 110.53 106.77°
Positions (direct):
1 Dy 0.910 0.589 0.230
2 Dy 0.090 0.411 0.770
3 Ho 0.788 0.876 0.701
4 Ho 0.212 0.124 0.299
5 Os 0.458 0.827 0.088
6 Os 0.542 0.173 0.912

Calculated values
DOS at the Fermi energy: 2.2 states/eV/f.u.
energy relative to the lowest polymorph listed for this composition: 4.2 kJ/mol of atoms
VASP energy: -21.02 eV/f.u.



Record 2
Density functional theory data (GGA-PBE) for a relaxed DyHoOs crystal.

Cell: 3.386 3.386 6.996 Å, 104.00 104.00 90.00°
Positions (direct):
1 Os 0.667 0.667 0.334
2 Ho 0.292 0.292 0.584
3 Dy 0.041 0.041 0.082

Calculated values
DOS at the Fermi energy: 1.3 states/eV/f.u.
energy relative to the lowest polymorph listed for this composition: 0.0 kJ/mol of atoms
VASP energy: -21.15 eV/f.u.



Record 3
Density functional theory data (GGA-PBE) for a relaxed Dy4HoOs2 crystal.

Cell: 6.279 7.891 7.814 Å, 112.23 90.00 90.00°
Positions (direct):
1 Os 0.250 0.253 0.975
2 Os 0.750 0.747 0.025
3 Os 0.750 0.377 0.413
4 Os 0.250 0.623 0.587
5 Ho 0.250 0.840 0.971
6 Ho 0.750 0.160 0.029
7 Dy 0.502 0.419 0.761
8 Dy 0.250 0.248 0.325
9 Dy 0.750 0.752 0.675
10 Dy 0.998 0.419 0.761
11 Dy 0.750 0.021 0.379
12 Dy 0.002 0.581 0.239
13 Dy 0.498 0.581 0.239
14 Dy 0.250 0.979 0.621

Calculated values
DOS at the Fermi energy: 6.3 states/eV/f.u.
VASP energy: -46.64 eV/f.u.



Record 4
Density functional theory data (GGA-PBE) for a relaxed DyHoOs crystal.

Cell: 5.406 5.406 8.004 Å, 90.00 90.00 120.00°
Positions (direct):
1 Ho 0.971 0.486 0.500
2 Ho 0.514 0.029 0.833
3 Ho 0.514 0.486 0.167
4 Dy 0.691 0.845 0.500
5 Dy 0.155 0.309 0.833
6 Dy 0.155 0.845 0.167
7 Os 0.331 0.166 0.500
8 Os 0.834 0.669 0.833
9 Os 0.834 0.166 0.167

Calculated values
DOS at the Fermi energy: 2.1 states/eV/f.u.
energy relative to the lowest polymorph listed for this composition: 33.2 kJ/mol of atoms
VASP energy: -20.12 eV/f.u.



Record 5
Density functional theory data (GGA-PBE) for a relaxed DyHoOs crystal.

Cell: 4.767 4.767 4.767 Å, 60.00 60.00 60.00°
Positions (direct):
1 Os 0.250 0.250 0.250
2 Ho 0.000 0.000 0.000
3 Dy 0.500 0.500 0.500

Calculated values
DOS at the Fermi energy: 1.6 states/eV/f.u.
energy relative to the lowest polymorph listed for this composition: 2.4 kJ/mol of atoms
VASP energy: -21.07 eV/f.u.



Record 6
Density functional theory data (GGA-PBE) for a relaxed Dy2HoOs crystal.

Cell: 3.435 3.435 11.007 Å, 81.02 81.02 60.00°
Last column: magnetic moment on the atom in μB.
Positions (direct):
1 Os 0.500 0.500 0.500  0.07
2 Ho 0.000 0.000 0.000  0.18
3 Dy 0.105 0.105 0.685  0.04
4 Dy 0.895 0.895 0.315  0.04

Calculated values
DOS at the Fermi energy: 6.4 states/eV/f.u.
energy relative to the lowest polymorph listed for this composition: 52.2 kJ/mol of atoms
VASP energy: -23.90 eV/f.u.



Record 7
Density functional theory data (GGA-PBE) for a relaxed DyHoOs4 crystal.

Cell: 5.351 5.351 5.351 Å, 60.00 60.00 60.00°
Positions (direct):
1 Os 0.625 0.625 0.125
2 Os 0.625 0.125 0.625
3 Os 0.625 0.625 0.625
4 Os 0.125 0.625 0.625
5 Ho 0.000 0.000 0.000
6 Dy 0.250 0.250 0.250

Calculated values
DOS at the Fermi energy: 5.7 states/eV/f.u.
VASP energy: -55.79 eV/f.u.



Record 8
Density functional theory data (GGA-PBE) for a relaxed Dy3HoOs crystal.

Cell: 5.417 5.417 5.417 Å, 90.00 90.00 90.00°
Positions (direct):
1 Os 0.000 0.000 0.000
2 Ho 0.500 0.500 0.500
3 Dy 0.000 0.500 0.000
4 Dy 0.000 0.000 0.500
5 Dy 0.500 0.000 0.000

Calculated values
DOS at the Fermi energy: 6.9 states/eV/f.u.
VASP energy: -29.40 eV/f.u.



Record 9
Density functional theory data (GGA-PBE) for a relaxed Dy2HoOs crystal.

Cell: 3.989 6.232 8.979 Å, 90.00 90.00 108.66°
Positions (direct):
1 Dy 0.356 0.711 0.566
2 Dy 0.644 0.289 0.434
3 Dy 0.356 0.711 0.934
4 Dy 0.644 0.289 0.066
5 Ho 0.925 0.849 0.250
6 Ho 0.075 0.151 0.750
7 Os 0.741 0.483 0.750
8 Os 0.259 0.517 0.250

Calculated values
DOS at the Fermi energy: 3.1 states/eV/f.u.
energy relative to the lowest polymorph listed for this composition: 1.8 kJ/mol of atoms
VASP energy: -25.99 eV/f.u.



Record 10
Density functional theory data (GGA-PBE) for a relaxed Dy2HoOs crystal.

Cell: 3.390 3.390 9.251 Å, 90.00 90.00 90.00°
Positions (direct):
1 Os 0.500 0.500 0.000
2 Ho 0.500 0.500 0.500
3 Dy 0.000 0.000 0.820
4 Dy 0.000 0.000 0.180

Calculated values
DOS at the Fermi energy: 3.8 states/eV/f.u.
energy relative to the lowest polymorph listed for this composition: 16.1 kJ/mol of atoms
VASP energy: -25.40 eV/f.u.



Record 11
Density functional theory data (GGA-PBE) for a relaxed Dy3Ho2Os2 crystal.

Cell: 3.961 6.275 8.242 Å, 111.25 90.00 108.40°
Positions (direct):
1 Dy 0.500 0.000 0.000
2 Dy 0.625 0.249 0.431
3 Dy 0.375 0.751 0.569
4 Ho 0.834 0.667 0.183
5 Ho 0.166 0.333 0.817
6 Os 0.822 0.644 0.785
7 Os 0.178 0.356 0.215

Calculated values
DOS at the Fermi energy: 4.9 states/eV/f.u.
VASP energy: -47.17 eV/f.u.



Record 12
Density functional theory data (GGA-PBE) for a relaxed Dy2HoOs crystal.

Cell: 6.317 7.383 9.058 Å, 90.00 90.00 90.00°
Positions (direct):
1 Dy 0.168 0.675 0.063
2 Dy 0.332 0.175 0.437
3 Dy 0.832 0.325 0.563
4 Dy 0.668 0.825 0.937
5 Dy 0.832 0.325 0.937
6 Dy 0.668 0.825 0.563
7 Dy 0.168 0.675 0.437
8 Dy 0.332 0.175 0.063
9 Ho 0.630 0.540 0.250
10 Ho 0.870 0.040 0.250
11 Ho 0.370 0.460 0.750
12 Ho 0.130 0.960 0.750
13 Os 0.038 0.383 0.250
14 Os 0.462 0.883 0.250
15 Os 0.962 0.617 0.750
16 Os 0.538 0.117 0.750

Calculated values
DOS at the Fermi energy: 2.8 states/eV/f.u.
energy relative to the lowest polymorph listed for this composition: 0.0 kJ/mol of atoms
VASP energy: -26.07 eV/f.u.